No. 1
Crystalline MgCoAg2 at its relaxed geometry. Source: Alexandria via LeMat-Bulk, functional PBE-GGA.

abc: 4.8237 4.8237 2.8994
angles: 90.00 90.00 107.00
Last column: nearest neighbours and their distance in Å.
Fractional positions:
1 Mg 0.0000 0.0000 0.0000  8 Ag 2.81, 2 Co 2.87, 2 Mg 2.90
2 Co 0.5000 0.5000 0.0000  8 Ag 2.81, 2 Mg 2.87, 2 Co 2.90
3 Ag 0.0000 0.5000 0.5000  4 Co 2.81, 4 Mg 2.81, 4 Ag 2.87-2.90
4 Ag 0.5000 0.0000 0.5000  4 Co 2.81, 4 Mg 2.81, 4 Ag 2.87-2.90

Summary:
Space group = Cmmm (65)

=====

No. 2
Crystalline DyPaCuTc at its relaxed geometry. Source: Alexandria via LeMat-Bulk, functional PBE-GGA.

abc: 4.8684 4.8684 4.8684
angles: 60.00 60.00 60.00
Last column: nearest neighbours and their distance in Å.
Fractional positions:
1 Dy 0.0000 0.0000 0.0000  4 Cu 2.98, 4 Tc 2.98
2 Pa 0.5000 0.5000 0.5000  4 Cu 2.98, 4 Tc 2.98
3 Cu 0.7500 0.7500 0.7500  4 Dy 2.98, 4 Pa 2.98
4 Tc 0.2500 0.2500 0.2500  4 Dy 2.98, 4 Pa 2.98

Summary:
Space group = F-43m (216)

=====

No. 3
Crystalline Ho12Al3Cd at its relaxed geometry. Source: Alexandria via LeMat-Bulk, functional PBE-GGA.

abc: 4.7572 4.7572 19.0509
angles: 90.00 90.00 90.00
Last column: nearest neighbours and their distance in Å.
Fractional positions:
1 Ho 0.0000 0.0000 0.0000  8 Ho 3.35, 4 Al 3.36
2 Ho 0.0000 0.0000 0.2476  8 Ho 3.33-3.35, 4 Al 3.36
3 Ho 0.0000 0.0000 0.5000  4 Cd 3.36, 8 Ho 3.43
4 Ho 0.0000 0.0000 0.7524  8 Ho 3.33-3.35, 4 Al 3.36
5 Ho 0.0000 0.5000 0.1237  4 Al 3.35-3.36, 8 Ho 3.35-3.36
6 Ho 0.0000 0.5000 0.3703  2 Al 3.32, 8 Ho 3.33-3.43, 2 Cd 3.43
7 Ho 0.0000 0.5000 0.6297  2 Al 3.32, 8 Ho 3.33-3.43, 2 Cd 3.43
8 Ho 0.0000 0.5000 0.8763  4 Al 3.35-3.36, 8 Ho 3.35-3.36
9 Ho 0.5000 0.0000 0.1237  4 Al 3.35-3.36, 8 Ho 3.35-3.36
10 Ho 0.5000 0.0000 0.3703  2 Al 3.32, 8 Ho 3.33-3.43, 2 Cd 3.43
11 Ho 0.5000 0.0000 0.6297  2 Al 3.32, 8 Ho 3.33-3.43, 2 Cd 3.43
12 Ho 0.5000 0.0000 0.8763  4 Al 3.35-3.36, 8 Ho 3.35-3.36
13 Al 0.5000 0.5000 0.0000  12 Ho 3.35-3.36
14 Al 0.5000 0.5000 0.2484  12 Ho 3.32-3.36
15 Al 0.5000 0.5000 0.7516  12 Ho 3.32-3.36
16 Cd 0.5000 0.5000 0.5000  12 Ho 3.36-3.43

Summary:
Space group = P4/mmm (123)

=====

It is found that the calculated volume values, taken in the order of the records, are 64.5, 81.6, 431.1 Å³/cell.
It is found that the DOS at the Fermi energy values, taken in the order of the records, are 3.20, 6.10, 21.93 states/eV per cell.
It is found that the formation energy from the elements values, taken in the order of the records, are 0.17, -0.05, -0.16 eV/atom.